(1)
Below is a relaxed TaInAg2 crystal, with properties calculated at the PBE level.

Output
Total DFT energy (no corrections) ... -4.830 eV per atom

Geometry as POSCAR:
```
TaInAg2
1.0
-0.789 1.385 -2.426
-0.169 -2.540 -1.395
-8.708 -0.744 2.408
In Ag Ta
1 2 1
Cartesian
-2.656 -0.763 -1.309 In
-8.608 -0.736 2.380 Ag
-4.454 -0.381 1.231 Ag
-7.010 -1.136 -0.105 Ta
```

***

(2)
Below is a relaxed TaInAg2 crystal, with properties calculated at the PBE level.

Output
Total DFT energy (no corrections) ... -4.795 eV per atom

Geometry as POSCAR:
```
TaInAg2
1.0
-2.213 -1.784 -0.582
1.318 -2.600 2.956
-3.535 3.007 4.221
In Ag Ta
1 2 1
Cartesian
-1.773 1.509 2.118 In
-3.535 3.007 4.220 Ag
-1.289 -1.476 2.193 Ag
-3.134 0.094 4.396 Ta
```

***

(3)
Below is a relaxed TaInAg2 crystal, with properties calculated at the PBE level.

Output
Total DFT energy (no corrections) ... -4.741 eV per atom

Geometry as POSCAR:
```
TaInAg2
1.0
5.977 -0.002 -0.003
3.058 5.135 0.003
-3.761 -3.898 2.527
In Ag Ta
1 2 1
Cartesian
3.367 -0.667 1.262 In
0.044 0.025 0.000 Ag
4.473 2.541 0.000 Ag
1.907 1.902 1.265 Ta
```

***

(4)
Below is a relaxed TaInAg2 crystal, with properties calculated at the PBE level.

Output
Total DFT energy (no corrections) ... -4.798 eV per atom

Geometry as POSCAR:
```
TaInAg2
1.0
4.425 0.000 0.000
0.000 2.915 0.033
0.000 1.431 5.912
In Ag Ta
1 2 1
Cartesian
0.000 1.632 3.057 In
0.000 0.181 0.066 Ag
2.212 1.633 1.363 Ag
2.212 3.073 4.432 Ta
```

***

(5)
Below is a relaxed TaInAg2 crystal, with properties calculated at the PBE level.

Output
Total DFT energy (no corrections) ... -4.370 eV per atom

Geometry as POSCAR:
```
TaInAg2
1.0
7.575 0.000 0.000
0.000 7.575 0.000
3.788 3.788 2.894
In Ag Ta
2 4 2
Cartesian
3.788 3.788 0.000 In
3.788 7.575 1.447 In
5.705 1.894 0.724 Ag
1.870 5.682 0.724 Ag
5.682 5.658 2.171 Ag
9.469 9.493 2.171 Ag
0.000 0.000 0.000 Ta
7.575 3.788 1.447 Ta
```

***

(6)
Below is a relaxed TaInAg2 crystal, with properties calculated at the PBE level.

Output
Total DFT energy (no corrections) ... -4.794 eV per atom

Geometry as POSCAR:
```
TaInAg2
1.0
10.114 -0.010 -0.006
9.677 2.941 -0.006
9.677 1.433 2.568
In Ag Ta
1 2 1
Cartesian
7.367 1.091 0.639 In
0.060 0.009 0.005 Ag
14.674 2.173 1.273 Ag
22.101 3.272 1.917 Ta
```

***

Number 1: density of states at the Fermi level 0.5184 states/eV/atom, volume 76 Å³/f.u., ΔH_f (0 K) 243 meV per atom. Number 2: density of states at the Fermi level 0.4306 states/eV/atom, volume 76 Å³/f.u., ΔH_f (0 K) 279 meV per atom. Number 3: density of states at the Fermi level 0.7676 states/eV/atom, volume 78 Å³/f.u., ΔH_f (0 K) 332 meV per atom. Number 4: density of states at the Fermi level 0.6625 states/eV/atom, volume 76 Å³/f.u., ΔH_f (0 K) 275 meV per atom. Number 5: density of states at the Fermi level 0.6382 states/eV/atom, volume 83 Å³/f.u., ΔH_f (0 K) 704 meV per atom. Number 6: density of states at the Fermi level 0.8965 states/eV/atom, volume 77 Å³/f.u., ΔH_f (0 K) 279 meV per atom.